Record 1
First-principles (PBE-GGA) data for KCoAu2 after structural relaxation, as listed in Alexandria.

The space group is Pmm2 (No. 25) and the conventional cell measures 2.772, 4.343 and 7.416 Å, with angles of 90.00, 90.00 and 90.00 degrees. The asymmetric unit holds K at (0.000, 0.000, 0.000), Co at (0.500, 0.500, 0.638), Au at (0.000, 0.000, 0.564) and Au at (0.500, 0.500, 0.289).

For the calculated formation energy, the calculation gives 1.21 eV per formula unit. For the total energy, the calculation gives -13.5 eV per cell. The density of states at the Fermi level is 3.7 states/eV/f.u. The value obtained for the total magnetic moment is 1.7 μB per cell.


Record 2
First-principles (PBE-GGA) data for VGaS2N after structural relaxation, as listed in Alexandria.

The space group is P4/mmm (No. 123) and the conventional cell measures 4.764, 4.764 and 3.637 Å, with angles of 90.00, 90.00 and 90.00 degrees. The asymmetric unit holds V at (0.000, 0.000, 0.000), Ga at (0.500, 0.500, 0.500), S at (0.000, 0.500, 0.000) and N at (0.000, 0.000, 0.500).

For the total energy, the calculation gives -29.1 eV per cell. Its raw formation energy is -72 meV per atom. The density of states at the Fermi level is 2.0 states/eV/f.u. The value obtained for the total magnetic moment is 0.0 μB per cell.


Record 3
First-principles (PBE-GGA) data for K2Te2Br after structural relaxation, as listed in Alexandria.

The space group is P4/mbm (No. 127) and the conventional cell measures 8.823, 8.823 and 5.566 Å, with angles of 90.00, 90.00 and 90.00 degrees. The asymmetric unit holds K at (0.184, 0.316, 0.000), Te at (0.108, 0.608, 0.500) and Br at (0.000, 0.000, 0.000).

For the total energy, the calculation gives -28.8 eV per cell. Its raw formation energy is -851 meV per atom. The density of states at the Fermi level is 1.2 states/eV/f.u. The value obtained for the total magnetic moment is 2.0 μB per cell.


no.,polymorph energy (0 for the lowest one) (meV per atom)
1,111
2,0
3,163